## Cs2AuSBr (PBE-GGA)

Data for a relaxed Cs2AuSBr crystal.

Results
As for the density of states at the Fermi level: 0.64 states/eV/cell. The uncorrected formation energy is -1002 meV per atom. The value obtained for the total magnetization is 0.00 μB/f.u. The space-group type is P4/mmm, No. 123. Its total energy is -3.159 eV per atom.

a = 6.857 Å, b = 6.857 Å, c = 4.602 Å
α = 90.00°, β = 90.00°, γ = 90.00°
Fractional positions:
Cs 0.000 0.500 0.000
Cs 0.500 0.000 0.000
Au 0.000 0.000 0.500
S 0.000 0.000 0.000
Br 0.500 0.500 0.500

=====

## Cs2SbAuBr6 (PBE-GGA)

Data for a relaxed Cs2SbAuBr6 crystal.

Results
As for the density of states at the Fermi level: 0.82 states/eV/cell. The uncorrected formation energy is -983 meV per atom. The value obtained for the total magnetization is 0.00 μB/f.u. The space-group type is Fm-3m, No. 225. Its total energy is -2.897 eV per atom.

a = 8.014 Å, b = 8.014 Å, c = 8.014 Å
α = 60.00°, β = 60.00°, γ = 60.00°
Fractional positions:
Cs 0.250 0.250 0.250
Cs 0.750 0.750 0.750
Sb 0.000 0.000 0.000
Au 0.500 0.500 0.500
Br 0.250 0.250 0.750
Br 0.250 0.750 0.250
Br 0.250 0.750 0.750
Br 0.750 0.250 0.250
Br 0.750 0.250 0.750
Br 0.750 0.750 0.250

=====

## CsAuSe2Br (PBE-GGA)

Data for a relaxed CsAuSe2Br crystal.

Results
As for the density of states at the Fermi level: 7.51 states/eV/cell. The uncorrected formation energy is 1024 meV per atom. The value obtained for the total magnetization is 0.75 μB/f.u. The space-group type is P4/mmm, No. 123. Its offset from the most stable computed form is 1316.5 meV/atom. Its total energy is -1.531 eV per atom.

a = 5.787 Å, b = 5.787 Å, c = 6.625 Å
α = 90.00°, β = 90.00°, γ = 90.00°
Fractional positions:
Cs 0.000 0.000 0.000
Au 0.500 0.500 0.500
Se 0.000 0.500 0.000
Se 0.500 0.000 0.000
Br 0.000 0.000 0.500

=====

## Cs6Au2SeBr (PBE-GGA)

Data for a relaxed Cs6Au2SeBr crystal.

Results
As for the density of states at the Fermi level: 10.71 states/eV/cell. The uncorrected formation energy is -762 meV per atom. The value obtained for the total magnetization is 0.00 μB/f.u. The space-group type is P2_1/c, No. 14. Its total energy is -2.446 eV per atom.

a = 9.070 Å, b = 9.595 Å, c = 15.350 Å
α = 90.00°, β = 121.70°, γ = 90.00°
Fractional positions:
Cs 0.097 0.069 0.247
Cs 0.097 0.431 0.747
Cs 0.265 0.701 0.087
Cs 0.265 0.799 0.587
Cs 0.372 0.177 0.063
Cs 0.372 0.323 0.563
Cs 0.628 0.677 0.437
Cs 0.628 0.823 0.937
Cs 0.735 0.201 0.413
Cs 0.735 0.299 0.913
Cs 0.903 0.569 0.253
Cs 0.903 0.931 0.753
Au 0.306 0.085 0.770
Au 0.306 0.415 0.270
Au 0.694 0.585 0.730
Au 0.694 0.915 0.230
Se 0.000 0.000 0.000
Se 0.000 0.500 0.500
Br 0.500 0.000 0.500
Br 0.500 0.500 0.000

=====

## Cs6Au2SeBr3 (PBE-GGA)

Data for a relaxed Cs6Au2SeBr3 crystal.

Results
As for the density of states at the Fermi level: 10.12 states/eV/cell. The uncorrected formation energy is -1073 meV per atom. The value obtained for the total magnetization is 1.08 μB/f.u. The space-group type is C2/m, No. 12. Its total energy is -2.754 eV per atom.

a = 11.785 Å, b = 11.785 Å, c = 10.607 Å
α = 104.42°, β = 104.42°, γ = 25.41°
Fractional positions:
Cs 0.002 0.002 0.245
Cs 0.332 0.332 0.421
Cs 0.334 0.334 0.917
Cs 0.666 0.666 0.083
Cs 0.668 0.668 0.579
Cs 0.998 0.998 0.755
Au 0.165 0.165 0.830
Au 0.835 0.835 0.170
Se 0.500 0.500 0.500
Br 0.167 0.167 0.331
Br 0.500 0.500 0.000
Br 0.833 0.833 0.669

=====

## CsAuSe2Br (PBE-GGA)

Data for a relaxed CsAuSe2Br crystal.

Results
As for the density of states at the Fermi level: 7.06 states/eV/cell. The uncorrected formation energy is -293 meV per atom. The value obtained for the total magnetization is 0.81 μB/f.u. The space-group type is P4/mmm, No. 123. Its offset from the most stable computed form is 0.0 meV/atom. Its total energy is -2.847 eV per atom.

a = 5.211 Å, b = 5.211 Å, c = 5.742 Å
α = 90.00°, β = 90.00°, γ = 90.00°
Fractional positions:
Cs 0.000 0.000 0.000
Au 0.500 0.500 0.500
Se 0.000 0.500 0.500
Se 0.500 0.000 0.500
Br 0.500 0.500 0.000